Zr2FeW | PBE-GGA | relaxed

Properties
**Final energy**: -37.45 eV per cell
**Polymorph energy (0 for the lowest one)**: 221 meV/atom
**Crystal system**: orthorhombic
**ΔE_f**: 0.265 eV/atom
**Space group**: Pmmm
**ρ**: 9.94 g/cm3
**DOS(E_F)**: 1.177 states/eV per atom

Unit cell a=3.329 b=4.835 c=4.381 alpha=90.00 beta=90.00 gamma=90.00
Each line ends with the local moment (μB).
Element x y z (fractional)
Fe 0.500 0.000 0.500  1.34
W 0.000 0.500 0.500  -0.11
Zr 0.000 0.000 0.000  -0.22
Zr 0.500 0.500 0.000  -0.07


Sc3RhO | PBE-GGA | relaxed

Properties
**Final energy**: -31.48 eV per cell
**Energy relative to the elements, uncorrected**: -35 meV/atom
**Crystal system**: cubic
**Space group**: Pm-3m
**ρ**: 3.47 g/cm3
**DOS(E_F)**: 1.076 states/eV per atom

Unit cell a=4.952 b=4.952 c=4.952 alpha=90.00 beta=90.00 gamma=90.00
Element x y z (fractional)
Sc 0.000 0.500 0.000
Sc 0.000 0.000 0.500
Sc 0.500 0.000 0.000
Rh 0.000 0.000 0.000
O 0.500 0.500 0.500


Pm2PrBr8 | PBE-GGA | relaxed

Properties
**Final energy**: -45.81 eV per cell
**Energy relative to the elements, uncorrected**: -1650 meV/atom
**Crystal system**: monoclinic
**Space group**: C2/m
**ρ**: 3.54 g/cm3
**DOS(E_F)**: 0.002 states/eV per atom

Unit cell a=6.103 b=9.270 c=9.270 alpha=73.23 beta=89.45 gamma=89.45
Each line ends with the local moment (μB).
Element x y z (fractional)
Pm 0.308 0.209 0.209  0.12
Pm 0.692 0.791 0.791  0.12
Pr 0.000 0.000 0.000  0.32
Br 0.740 0.105 0.717  0.00
Br 0.260 0.283 0.895  0.00
Br 0.785 0.186 0.186  0.00
Br 0.215 0.814 0.814  0.00
Br 0.740 0.717 0.105  0.00
Br 0.260 0.895 0.283  0.00
Br 0.240 0.387 0.387  0.01
Br 0.760 0.613 0.613  0.01


HfSc2In | PBE-GGA | relaxed

Properties
**Final energy**: -25.50 eV per cell
**Crystal system**: cubic
**ΔE_f**: -0.036 eV/atom
**Space group**: F-43m
**ρ**: 7.07 g/cm3
**DOS(E_F)**: 1.713 states/eV per atom

Unit cell a=5.029 b=5.029 c=5.030 alpha=60.00 beta=60.00 gamma=60.00
Each line ends with the local moment (μB).
Element x y z (fractional)
Hf 0.500 0.500 0.500  0.17
Sc 0.000 0.000 0.000  0.10
Sc 0.250 0.250 0.250  0.18
In 0.750 0.750 0.750  -0.01


BeTlRu | PBE-GGA | relaxed

Properties
**Final energy**: -14.36 eV per cell
**Polymorph energy (0 for the lowest one)**: 113 meV/atom
**Crystal system**: hexagonal
**ΔE_f**: 0.335 eV/atom
**Space group**: P-6m2
**ρ**: 11.10 g/cm3
**DOS(E_F)**: 0.211 states/eV per atom

Unit cell a=3.953 b=3.953 c=3.477 alpha=90.00 beta=90.00 gamma=120.00
Element x y z (fractional)
Ru 0.667 0.333 0.167
Tl 0.333 0.667 0.667
Be 0.000 0.000 0.167


PmHoAu2 | PBE-GGA | relaxed

Properties
**Final energy**: -19.15 eV per cell
**Polymorph energy (0 for the lowest one)**: 32 meV/atom
**Crystal system**: cubic
**ΔE_f**: -0.816 eV/atom
**Space group**: Fm-3m
**ρ**: 12.09 g/cm3
**DOS(E_F)**: 0.692 states/eV per atom

Unit cell a=5.151 b=5.151 c=5.151 alpha=60.00 beta=60.00 gamma=60.00
Element x y z (fractional)
Au 0.250 0.250 0.250
Au 0.750 0.750 0.750
Ho 0.000 0.000 0.000
Pm 0.500 0.500 0.500


CaY2Rh9 | PBE-GGA | relaxed

Properties
**Final energy**: -86.74 eV per cell
**Crystal system**: trigonal
**ΔE_f**: -0.471 eV/atom
**Space group**: R-3m
**ρ**: 8.99 g/cm3
**DOS(E_F)**: 1.207 states/eV per atom

Unit cell a=5.285 b=5.285 c=9.257 alpha=73.41 beta=73.41 gamma=60.00
Element x y z (fractional)
Ca 0.000 0.000 0.000
Y 0.862 0.862 0.414
Y 0.138 0.138 0.586
Rh 0.667 0.667 0.999
Rh 0.333 0.333 0.001
Rh 0.500 0.500 0.500
Rh 0.417 0.417 0.248
Rh 0.917 0.417 0.248
Rh 0.417 0.917 0.248
Rh 0.583 0.583 0.752
Rh 0.583 0.083 0.752
Rh 0.083 0.583 0.752


Tm3Sc4Sb4 | PBE-GGA | relaxed

Properties
**Final energy**: -63.47 eV per cell
**Energy relative to the elements, uncorrected**: -749 meV/atom
**Crystal system**: orthorhombic
**Space group**: Immm
**ρ**: 6.91 g/cm3
**DOS(E_F)**: 0.829 states/eV per atom

Unit cell a=4.107 b=8.846 c=9.168 alpha=118.84 beta=102.94 gamma=90.00
Element x y z (fractional)
Tm 0.113 0.113 0.226
Tm 0.887 0.887 0.774
Tm 0.000 0.500 0.000
Sc 0.324 0.124 0.649
Sc 0.676 0.475 0.351
Sc 0.676 0.876 0.351
Sc 0.324 0.525 0.649
Sb 0.236 0.736 0.471
Sb 0.764 0.264 0.529
Sb 0.500 0.789 0.000
Sb 0.500 0.211 0.000


PuMgTl3 | PBE-GGA | relaxed

Properties
**Final energy**: -69.95 eV per cell
**Crystal system**: cubic
**ΔE_f**: -0.058 eV/atom
**Space group**: Pm-3m
**ρ**: 10.94 g/cm3
**DOS(E_F)**: 2.447 states/eV per atom

Unit cell a=7.376 b=7.376 c=7.376 alpha=90.00 beta=90.00 gamma=90.00
Each line ends with the local moment (μB).
Element x y z (fractional)
Pu 0.000 0.500 0.500  5.48
Pu 0.500 0.000 0.500  5.48
Pu 0.500 0.500 0.000  5.48
Mg 0.500 0.000 0.000  -0.01
Mg 0.000 0.500 0.000  -0.01
Mg 0.000 0.000 0.500  -0.01
Tl 0.500 0.500 0.500  0.01
Tl 0.231 0.231 0.231  0.01
Tl 0.769 0.769 0.231  0.01
Tl 0.769 0.231 0.769  0.01
Tl 0.231 0.769 0.769  0.01
Tl 0.231 0.231 0.769  0.01
Tl 0.769 0.769 0.769  0.01
Tl 0.231 0.769 0.231  0.01
Tl 0.769 0.231 0.231  0.01


FeSnPS2 | PBE-GGA | relaxed

Properties
**Final energy**: -25.05 eV per cell
**Energy relative to the elements, uncorrected**: 217 meV/atom
**Polymorph energy (0 for the lowest one)**: 0 meV/atom
**Crystal system**: tetragonal
**Space group**: P4/mmm
**ρ**: 4.88 g/cm3
**DOS(E_F)**: 0.952 states/eV per atom

Unit cell a=4.657 b=4.657 c=4.229 alpha=90.00 beta=90.00 gamma=90.00
Each line ends with the local moment (μB).
Element x y z (fractional)
P 0.000 0.000 0.500  -0.06
S 0.000 0.500 0.000  0.07
S 0.500 0.000 0.000  0.07
Sn 0.500 0.500 0.500  0.04
Fe 0.000 0.000 0.000  1.72


MgZrCu2 | PBE-GGA | relaxed

Properties
**Final energy**: -18.45 eV per cell
**Crystal system**: tetragonal
**ΔE_f**: -0.028 eV/atom
**Space group**: P4mm
**ρ**: 5.96 g/cm3
**DOS(E_F)**: 1.009 states/eV per atom

Unit cell a=3.144 b=3.144 c=6.833 alpha=90.00 beta=90.00 gamma=90.00
Element x y z (fractional)
Cu 0.000 0.000 0.040
Cu 0.500 0.500 0.218
Mg 0.000 0.000 0.452
Zr 0.500 0.500 0.790


Ba4TaMo | PBE-GGA | relaxed

Properties
**Final energy**: -19.88 eV per cell
**Crystal system**: cubic
**ΔE_f**: 1.749 eV/atom
**Space group**: F-43m
**ρ**: 5.49 g/cm3
**DOS(E_F)**: 2.022 states/eV per atom

Unit cell a=7.071 b=7.071 c=7.071 alpha=60.00 beta=60.00 gamma=60.00
Each line ends with the local moment (μB).
Element x y z (fractional)
Ba 0.876 0.375 0.375  0.03
Ba 0.375 0.375 0.876  0.03
Ba 0.375 0.876 0.375  0.03
Ba 0.375 0.375 0.375  0.03
Ta 0.000 0.000 0.000  2.02
Mo 0.750 0.750 0.750  3.55


Mg2Cd2P | PBE-GGA | relaxed

Properties
**Final energy**: -19.99 eV per cell
**Polymorph energy (0 for the lowest one)**: 100 meV/atom
**Crystal system**: tetragonal
**ΔE_f**: 0.087 eV/atom
**Space group**: P4/mbm
**ρ**: 4.60 g/cm3
**DOS(E_F)**: 0.436 states/eV per atom

Unit cell a=7.068 b=7.068 c=4.397 alpha=90.00 beta=90.00 gamma=90.00
Element x y z (fractional)
P 0.000 0.000 0.000
P 0.500 0.500 0.000
Mg 0.163 0.663 0.500
Mg 0.663 0.837 0.500
Mg 0.837 0.337 0.500
Mg 0.337 0.163 0.500
Cd 0.358 0.858 0.000
Cd 0.858 0.642 0.000
Cd 0.642 0.142 0.000
Cd 0.142 0.358 0.000


Sb2P2Cl | PBE-GGA | relaxed

Properties
**Final energy**: -20.82 eV per cell
**Energy relative to the elements, uncorrected**: 19 meV/atom
**Crystal system**: tetragonal
**Space group**: I4/mmm
**ρ**: 4.37 g/cm3
**DOS(E_F)**: 0.231 states/eV per atom

Unit cell a=4.437 b=4.437 c=7.289 alpha=72.28 beta=72.28 gamma=90.00
Element x y z (fractional)
Sb 0.365 0.365 0.270
Sb 0.635 0.635 0.730
P 0.750 0.250 0.500
P 0.250 0.750 0.500
Cl 0.000 0.000 0.000


TaTcAu2 | PBE-GGA | relaxed

Properties
**Final energy**: -27.95 eV per cell
**Polymorph energy (0 for the lowest one)**: 243 meV/atom
**Crystal system**: cubic
**ΔE_f**: 0.206 eV/atom
**Space group**: F-43m
**ρ**: 16.36 g/cm3
**DOS(E_F)**: 0.590 states/eV per atom

Unit cell a=4.589 b=4.589 c=4.589 alpha=60.00 beta=60.00 gamma=60.00
Element x y z (fractional)
Au 0.000 0.000 0.000
Au 0.250 0.250 0.250
Ta 0.500 0.500 0.500
Tc 0.750 0.750 0.750


Gd3Os5N12 | PBE-GGA | relaxed

Properties
**Final energy**: -809.78 eV per cell
**Energy relative to the elements, uncorrected**: -207 meV/atom
**Crystal system**: cubic
**Space group**: Ia-3d
**ρ**: 10.14 g/cm3
**DOS(E_F)**: 0.379 states/eV per atom

Unit cell a=11.064 b=11.064 c=11.064 alpha=109.47 beta=109.47 gamma=109.47
Each line ends with the local moment (μB).
Element x y z (fractional)
Gd 0.750 0.375 0.125  6.88
Gd 0.875 0.750 0.125  6.88
Gd 0.375 0.750 0.625  6.88
Gd 0.250 0.125 0.375  6.88
Gd 0.875 0.125 0.250  6.88
Gd 0.375 0.625 0.250  6.88
Gd 0.625 0.375 0.750  6.88
Gd 0.125 0.875 0.750  6.88
Gd 0.750 0.875 0.625  6.88
Gd 0.625 0.250 0.375  6.88
Gd 0.125 0.250 0.875  6.88
Gd 0.250 0.625 0.875  6.88
Os 0.125 0.375 0.250  -0.02
Os 0.000 0.500 0.000  0.03
Os 0.000 0.000 0.000  0.03
Os 0.375 0.250 0.125  -0.02
Os 0.500 0.000 0.500  0.03
Os 0.500 0.500 0.000  0.03
Os 0.125 0.750 0.375  -0.02
Os 0.750 0.125 0.875  -0.02
Os 0.750 0.625 0.375  -0.02
Os 0.375 0.125 0.750  -0.02
Os 0.625 0.875 0.250  -0.02
Os 0.500 0.500 0.500  0.03
Os 0.500 0.000 0.000  0.03
Os 0.000 0.000 0.500  0.03
Os 0.250 0.375 0.625  -0.02
Os 0.250 0.875 0.125  -0.02
Os 0.000 0.500 0.500  0.03
Os 0.875 0.250 0.625  -0.02
Os 0.625 0.750 0.875  -0.02
Os 0.875 0.625 0.750  -0.02
N 0.695 0.117 0.014  -0.01
N 0.319 0.514 0.397  -0.01
N 0.986 0.383 0.305  -0.01
N 0.514 0.195 0.117  -0.01
N 0.577 0.695 0.681  -0.01
N 0.986 0.603 0.181  -0.01
N 0.319 0.805 0.423  -0.01
N 0.103 0.923 0.117  -0.01
N 0.603 0.986 0.681  -0.01
N 0.695 0.577 0.181  -0.01
N 0.805 0.486 0.383  -0.01
N 0.819 0.897 0.014  -0.01
N 0.117 0.695 0.514  -0.01
N 0.383 0.397 0.077  -0.01
N 0.077 0.897 0.383  -0.01
N 0.423 0.117 0.603  -0.01
N 0.077 0.181 0.195  -0.01
N 0.486 0.681 0.103  -0.01
N 0.819 0.923 0.305  -0.01
N 0.117 0.423 0.103  -0.01
N 0.383 0.986 0.805  -0.01
N 0.603 0.617 0.423  -0.01
N 0.897 0.819 0.514  -0.01
N 0.805 0.319 0.923  -0.01
N 0.397 0.383 0.577  -0.01
N 0.103 0.181 0.486  -0.01
N 0.195 0.681 0.077  -0.01
N 0.181 0.077 0.695  -0.01
N 0.617 0.014 0.195  -0.01
N 0.883 0.577 0.897  -0.01
N 0.514 0.319 0.897  -0.01
N 0.577 0.883 0.397  -0.01
N 0.923 0.819 0.805  -0.01
N 0.923 0.103 0.617  -0.01
N 0.883 0.305 0.486  -0.01
N 0.181 0.103 0.986  -0.01
N 0.617 0.603 0.923  -0.01
N 0.397 0.014 0.319  -0.01
N 0.305 0.423 0.819  -0.01
N 0.195 0.514 0.617  -0.01
N 0.897 0.077 0.883  -0.01
N 0.681 0.195 0.577  -0.01
N 0.486 0.805 0.883  -0.01
N 0.014 0.397 0.819  -0.01
N 0.423 0.305 0.319  -0.01
N 0.014 0.617 0.695  -0.01
N 0.681 0.486 0.603  -0.01
N 0.305 0.883 0.986  -0.01


CeHoAl | PBE-GGA | relaxed

Properties
**Final energy**: -29.57 eV per cell
**Polymorph energy (0 for the lowest one)**: 43 meV/atom
**Crystal system**: monoclinic
**ΔE_f**: -0.178 eV/atom
**Space group**: C2/m
**ρ**: 7.35 g/cm3
**DOS(E_F)**: 1.647 states/eV per atom

Unit cell a=5.393 b=5.782 c=6.368 alpha=62.64 beta=90.00 gamma=117.79
Each line ends with the local moment (μB).
Element x y z (fractional)
Al 0.147 0.294 0.796  0.00
Al 0.853 0.706 0.204  0.00
Ce 0.493 0.987 0.290  0.32
Ce 0.507 0.013 0.710  0.32
Ho 0.822 0.644 0.731  0.02
Ho 0.178 0.356 0.269  0.02


PaSi2Tc | PBE-GGA | relaxed

Properties
**Final energy**: -66.37 eV per cell
**Energy relative to the elements, uncorrected**: -619 meV/atom
**Polymorph energy (0 for the lowest one)**: 14 meV/atom
**Crystal system**: hexagonal
**Space group**: P6_3/mmc
**ρ**: 9.07 g/cm3
**DOS(E_F)**: 0.309 states/eV per atom

Unit cell a=4.155 b=4.155 c=9.436 alpha=90.00 beta=90.00 gamma=120.00
Element x y z (fractional)
Pa 0.333 0.667 0.250
Pa 0.667 0.333 0.750
Si 0.667 0.333 0.075
Si 0.333 0.667 0.575
Si 0.667 0.333 0.425
Si 0.333 0.667 0.925
Tc 0.000 0.000 0.000
Tc 0.000 0.000 0.500